(1)
# SmPb2

A relaxed structure of SmPb2 (PBE, Alexandria).

Computed properties:
DOS at the Fermi energy: 2.53 states/eV per cell
Crystal system: monoclinic

Cell: 4.444 4.444 5.340 Å, 108.69 108.69 90.55°
Sites, in units of the cell vectors:
Sm (0.000, 0.000, 0.000)
Pb (0.356, 0.356, 0.682)
Pb (0.644, 0.644, 0.318)

=====

(2)
# Rb4Ac3CeS8

A relaxed structure of Rb4Ac3CeS8 (PBE, Alexandria).

Computed properties:
Energy relative to the elements, uncorrected: -1844 meV/atom
DOS at the Fermi energy: 4.51 states/eV per cell
Crystal system: trigonal

Cell: 9.252 9.252 9.252 Å, 57.01 57.01 57.01°
Sites, in units of the cell vectors:
Rb (0.000, 0.000, 0.000)
Rb (0.000, 0.500, 0.500)
Rb (0.500, 0.000, 0.500)
Rb (0.500, 0.500, 0.000)
Ac (0.000, 0.000, 0.500)
Ac (0.000, 0.500, 0.000)
Ac (0.500, 0.000, 0.000)
Ce (0.500, 0.500, 0.500)
S (0.235, 0.235, 0.235)
S (0.242, 0.729, 0.729)
S (0.271, 0.271, 0.758)
S (0.271, 0.758, 0.271)
S (0.729, 0.242, 0.729)
S (0.729, 0.729, 0.242)
S (0.758, 0.271, 0.271)
S (0.765, 0.765, 0.765)

=====

(3)
# PIrPd

A relaxed structure of PIrPd (PBE, Alexandria).

Computed properties:
DOS at the Fermi energy: 1.88 states/eV per cell
Crystal system: cubic

Cell: 3.993 3.993 3.993 Å, 60.00 60.00 60.00°
Sites, in units of the cell vectors:
P (0.000, 0.000, 0.000)
Ir (0.750, 0.750, 0.750)
Pd (0.250, 0.250, 0.250)

=====

(4)
# Tb4ErGa4

A relaxed structure of Tb4ErGa4 (PBE, Alexandria).

Computed properties:
DOS at the Fermi energy: 6.95 states/eV per cell
Crystal system: tetragonal

Cell: 7.479 7.479 7.479 Å, 95.71 95.71 143.23°
Sites, in units of the cell vectors:
Tb (0.130, 0.644, 0.775)
Tb (0.356, 0.130, 0.486)
Tb (0.644, 0.870, 0.514)
Tb (0.870, 0.356, 0.225)
Er (0.000, 0.000, 0.000)
Ga (0.328, 0.428, 0.756)
Ga (0.428, 0.672, 0.100)
Ga (0.572, 0.328, 0.900)
Ga (0.672, 0.572, 0.244)

=====

(5)
# Tb2Nd6Y3Ho

A relaxed structure of Tb2Nd6Y3Ho (PBE, Alexandria).

Computed properties:
DOS at the Fermi energy: 14.11 states/eV per cell
Crystal system: monoclinic

Cell: 6.289 6.289 11.893 Å, 95.04 95.04 120.00°
Sites, in units of the cell vectors:
Tb (0.167, 0.833, 0.000)
Tb (0.833, 0.167, 0.000)
Nd (0.083, 0.416, 0.751)
Nd (0.250, 0.250, 0.249)
Nd (0.416, 0.083, 0.751)
Nd (0.584, 0.917, 0.249)
Nd (0.750, 0.750, 0.751)
Nd (0.917, 0.584, 0.249)
Y (0.000, 0.000, 0.500)
Y (0.333, 0.667, 0.500)
Y (0.667, 0.333, 0.500)
Ho (0.500, 0.500, 0.000)

=====

(6)
# Pa3Tl5Hg12

A relaxed structure of Pa3Tl5Hg12 (PBE, Alexandria).

Computed properties:
DOS at the Fermi energy: 118.36 states/eV per cell
Crystal system: cubic

Cell: 15.326 15.326 15.326 Å, 109.47 109.47 109.47°
Sites, in units of the cell vectors:
Pa (0.125, 0.250, 0.375)
Pa (0.125, 0.375, 0.750)
Pa (0.250, 0.375, 0.125)
Pa (0.250, 0.875, 0.625)
Pa (0.375, 0.125, 0.250)
Pa (0.375, 0.750, 0.125)
Pa (0.625, 0.250, 0.875)
Pa (0.625, 0.875, 0.750)
Pa (0.750, 0.125, 0.375)
Pa (0.750, 0.625, 0.875)
Pa (0.875, 0.625, 0.250)
Pa (0.875, 0.750, 0.625)
Tl (0.000, 0.000, 0.000)
Tl (0.000, 0.000, 0.500)
Tl (0.000, 0.500, 0.000)
Tl (0.000, 0.500, 0.500)
Tl (0.125, 0.750, 0.875)
Tl (0.125, 0.875, 0.250)
Tl (0.250, 0.125, 0.875)
Tl (0.250, 0.625, 0.375)
Tl (0.375, 0.250, 0.625)
Tl (0.375, 0.625, 0.750)
Tl (0.500, 0.000, 0.000)
Tl (0.500, 0.000, 0.500)
Tl (0.500, 0.500, 0.000)
Tl (0.500, 0.500, 0.500)
Tl (0.625, 0.375, 0.250)
Tl (0.625, 0.750, 0.375)
Tl (0.750, 0.375, 0.625)
Tl (0.750, 0.875, 0.125)
Tl (0.875, 0.125, 0.750)
Tl (0.875, 0.250, 0.125)
Hg (0.067, 0.230, 0.143)
Hg (0.067, 0.337, 0.924)
Hg (0.076, 0.643, 0.413)
Hg (0.076, 0.933, 0.663)
Hg (0.087, 0.730, 0.663)
Hg (0.087, 0.857, 0.424)
Hg (0.143, 0.067, 0.230)
Hg (0.143, 0.576, 0.913)
Hg (0.163, 0.230, 0.587)
Hg (0.163, 0.433, 0.576)
Hg (0.230, 0.143, 0.067)
Hg (0.230, 0.587, 0.163)
Hg (0.270, 0.337, 0.913)
Hg (0.270, 0.433, 0.357)
Hg (0.337, 0.913, 0.270)
Hg (0.337, 0.924, 0.067)
Hg (0.357, 0.270, 0.433)
Hg (0.357, 0.587, 0.924)
Hg (0.413, 0.076, 0.643)
Hg (0.413, 0.837, 0.770)
Hg (0.424, 0.087, 0.857)
Hg (0.424, 0.837, 0.567)
Hg (0.433, 0.357, 0.270)
Hg (0.433, 0.576, 0.163)
Hg (0.567, 0.424, 0.837)
Hg (0.567, 0.643, 0.730)
Hg (0.576, 0.163, 0.433)
Hg (0.576, 0.913, 0.143)
Hg (0.587, 0.163, 0.230)
Hg (0.587, 0.924, 0.357)
Hg (0.643, 0.413, 0.076)
Hg (0.643, 0.730, 0.567)
Hg (0.663, 0.076, 0.933)
Hg (0.663, 0.087, 0.730)
Hg (0.730, 0.567, 0.643)
Hg (0.730, 0.663, 0.087)
Hg (0.770, 0.413, 0.837)
Hg (0.770, 0.857, 0.933)
Hg (0.837, 0.567, 0.424)
Hg (0.837, 0.770, 0.413)
Hg (0.857, 0.424, 0.087)
Hg (0.857, 0.933, 0.770)
Hg (0.913, 0.143, 0.576)
Hg (0.913, 0.270, 0.337)
Hg (0.924, 0.067, 0.337)
Hg (0.924, 0.357, 0.587)
Hg (0.933, 0.663, 0.076)
Hg (0.933, 0.770, 0.857)

=====

(7)
# AcGaSiRh6

A relaxed structure of AcGaSiRh6 (PBE, Alexandria).

Computed properties:
Energy relative to the elements, uncorrected: -163 meV/atom
DOS at the Fermi energy: 14.98 states/eV per cell
Crystal system: orthorhombic

Cell: 7.974 7.974 7.974 Å, 134.10 108.93 88.83°
Sites, in units of the cell vectors:
Ac (0.422, 0.172, 0.250)
Ac (0.578, 0.828, 0.750)
Ga (0.000, 0.000, 0.500)
Ga (0.000, 0.500, 0.000)
Si (0.000, 0.500, 0.500)
Si (0.500, 0.500, 0.000)
Rh (0.115, 0.359, 0.210)
Rh (0.115, 0.904, 0.756)
Rh (0.167, 0.917, 0.250)
Rh (0.317, 0.567, 0.750)
Rh (0.352, 0.096, 0.710)
Rh (0.352, 0.641, 0.256)
Rh (0.648, 0.359, 0.744)
Rh (0.648, 0.904, 0.290)
Rh (0.683, 0.433, 0.250)
Rh (0.833, 0.083, 0.750)
Rh (0.885, 0.096, 0.244)
Rh (0.885, 0.641, 0.790)

=====

(8)
# YTl2BiS4

A relaxed structure of YTl2BiS4 (PBE, Alexandria).

Computed properties:
Energy relative to the elements, uncorrected: -955 meV/atom
Crystal system: monoclinic

Cell: 7.116 4.087 7.836 Å, 90.00 107.48 90.00°
Sites, in units of the cell vectors:
Y (0.000, 0.000, 0.000)
Tl (0.000, 0.500, 0.500)
Tl (0.500, 0.000, 0.500)
Bi (0.500, 0.500, 0.000)
S (0.227, 0.500, 0.201)
S (0.257, 0.000, 0.794)
S (0.743, 0.000, 0.206)
S (0.773, 0.500, 0.799)

=====

(9)
# HoAl4Au2

A relaxed structure of HoAl4Au2 (PBE, Alexandria).

Computed properties:
DOS at the Fermi energy: 7.78 states/eV per cell
Crystal system: orthorhombic

Cell: 17.258 4.327 6.902 Å, 90.00 90.00 90.00°
Sites, in units of the cell vectors:
Ho (0.141, 0.250, 0.015)
Ho (0.359, 0.750, 0.515)
Ho (0.641, 0.250, 0.485)
Ho (0.859, 0.750, 0.985)
Al (0.035, 0.750, 0.858)
Al (0.067, 0.250, 0.475)
Al (0.184, 0.750, 0.329)
Al (0.189, 0.750, 0.733)
Al (0.311, 0.250, 0.233)
Al (0.316, 0.250, 0.829)
Al (0.433, 0.750, 0.975)
Al (0.465, 0.250, 0.358)
Al (0.535, 0.750, 0.642)
Al (0.567, 0.250, 0.025)
Al (0.684, 0.750, 0.171)
Al (0.689, 0.750, 0.767)
Al (0.811, 0.250, 0.267)
Al (0.816, 0.250, 0.671)
Al (0.933, 0.750, 0.525)
Al (0.965, 0.250, 0.142)
Au (0.036, 0.750, 0.248)
Au (0.217, 0.250, 0.535)
Au (0.283, 0.750, 0.035)
Au (0.464, 0.250, 0.748)
Au (0.536, 0.750, 0.252)
Au (0.717, 0.250, 0.965)
Au (0.783, 0.750, 0.465)
Au (0.964, 0.250, 0.752)

=====

(10)
# YMgTe2

A relaxed structure of YMgTe2 (PBE, Alexandria).

Computed properties:
Energy relative to the elements, uncorrected: -289 meV/atom
DOS at the Fermi energy: 2.76 states/eV per cell
Crystal system: cubic

Cell: 5.418 5.418 5.418 Å, 60.00 60.00 60.00°
Sites, in units of the cell vectors:
Y (0.000, 0.000, 0.000)
Mg (0.750, 0.750, 0.750)
Te (0.250, 0.250, 0.250)
Te (0.500, 0.500, 0.500)

=====

(11)
# Tb2Al2CuPt5

A relaxed structure of Tb2Al2CuPt5 (PBE, Alexandria).

Computed properties:
DOS at the Fermi energy: 8.73 states/eV per cell
Crystal system: tetragonal

Cell: 9.773 9.773 3.663 Å, 90.00 90.00 90.00°
Sites, in units of the cell vectors:
Tb (0.177, 0.323, 0.000)
Tb (0.323, 0.823, 0.000)
Tb (0.677, 0.177, 0.000)
Tb (0.823, 0.677, 0.000)
Al (0.123, 0.623, 0.000)
Al (0.377, 0.123, 0.000)
Al (0.623, 0.877, 0.000)
Al (0.877, 0.377, 0.000)
Cu (0.000, 0.000, 0.000)
Cu (0.500, 0.500, 0.000)
Pt (0.000, 0.500, 0.500)
Pt (0.062, 0.797, 0.500)
Pt (0.203, 0.062, 0.500)
Pt (0.297, 0.562, 0.500)
Pt (0.438, 0.297, 0.500)
Pt (0.500, 0.000, 0.500)
Pt (0.562, 0.703, 0.500)
Pt (0.703, 0.438, 0.500)
Pt (0.797, 0.938, 0.500)
Pt (0.938, 0.203, 0.500)

=====

(12)
# Ni2OsSe

A relaxed structure of Ni2OsSe (PBE, Alexandria).

Computed properties:
Energy relative to the elements, uncorrected: 587 meV/atom
DOS at the Fermi energy: 5.32 states/eV per cell
Crystal system: orthorhombic

Cell: 2.650 2.650 9.442 Å, 90.00 90.00 117.26°
Sites, in units of the cell vectors:
Ni (0.000, 0.000, 0.000)
Ni (0.500, 0.500, 0.215)
Os (0.500, 0.500, 0.780)
Se (0.000, 0.000, 0.425)

=====

Across the entries above, final energy takes the values -4.26, -5.29, -6.85, -4.31, -5.14, -1.80, -6.46, -4.90, -4.30, -3.87, -5.98, -5.98 eV per atom, respectively.